(1)
## Hf3MnRe (PBE)

Data for a relaxed structure of Hf3MnRe.

Cell lengths 4.6522, 4.6522, 4.6522 Å; angles 90.00, 90.00, 90.00 degrees
Fractional coordinates of all 5 atoms:
Hf1 0.0000 0.0000 0.5000
Hf2 0.0000 0.5000 0.0000
Hf3 0.5000 0.0000 0.0000
Mn1 0.0000 0.0000 0.0000
Re1 0.5000 0.5000 0.5000

Values from the calculation:
Volume, Å³/atom: 20.14
Magnetic moment, μB per formula unit: 0.00
Energy of formation from the pure elements, eV/f.u.: 3.8
Crystal system: cubic
Energy above the most stable polymorph in this dataset, eV/f.u.: 0.00



(2)
## HfMnRe3 (PBE)

Data for a relaxed structure of HfMnRe3.

Cell lengths 4.6965, 4.6965, 4.6965 Å; angles 90.00, 90.00, 90.00 degrees
Fractional coordinates of all 5 atoms:
Hf1 0.0000 0.0000 0.0000
Mn1 0.5000 0.5000 0.5000
Re1 0.0000 0.0000 0.5000
Re2 0.0000 0.5000 0.0000
Re3 0.5000 0.0000 0.0000

Values from the calculation:
Volume, Å³/atom: 20.72
Magnetic moment, μB per formula unit: 0.03
Energy of formation from the pure elements, eV/f.u.: 14.5
Crystal system: cubic
Energy above the most stable polymorph in this dataset, eV/f.u.: 9.78



(3)
## Hf2MnRe (PBE)

Data for a relaxed structure of Hf2MnRe.

Cell lengths 3.2443, 3.2443, 6.4653 Å; angles 90.00, 90.00, 90.00 degrees
Fractional coordinates of all 4 atoms:
Hf1 0.0000 0.0000 0.2481
Hf2 0.0000 0.0000 0.7519
Mn1 0.5000 0.5000 0.0000
Re1 0.5000 0.5000 0.5000

Values from the calculation:
Volume, Å³/atom: 17.01
Magnetic moment, μB per formula unit: 1.35
Energy of formation from the pure elements, eV/f.u.: -0.9
Crystal system: tetragonal



(4)
## HfMn2Re (PBE)

Data for a relaxed structure of HfMn2Re.

Cell lengths 4.3147, 4.3147, 3.0263 Å; angles 90.00, 90.00, 90.00 degrees
Fractional coordinates of all 4 atoms:
Hf1 0.0000 0.0000 0.0000
Mn1 0.0000 0.5000 0.5000
Mn2 0.5000 0.0000 0.5000
Re1 0.5000 0.5000 0.0000

Values from the calculation:
Volume, Å³/atom: 14.09
Magnetic moment, μB per formula unit: 0.00
Energy of formation from the pure elements, eV/f.u.: -0.1
Crystal system: tetragonal
Energy above the most stable polymorph in this dataset, eV/f.u.: 0.04



Result set for density of states at the Fermi level: 1.0988 1.5568 1.2747 0.7254 states/eV/atom, one per record in the order listed.